Here is TiVGeO6 after structural relaxation from Alexandria. Energies are from PBE+U.

## Properties
Total energy   -7.72 eV/atom
Theoretical density   4.80 Mg/m³

CIF file:
```
data_TiVGeO6
_cell_length_a 4.553
_cell_length_b 4.553
_cell_length_c 8.921
_cell_angle_alpha 90.00
_cell_angle_beta 90.00
_cell_angle_gamma 90.00
_space_group_name_H-M_alt 'P 42 n m'
_space_group_IT_number 102
_space_group_name_Hall 'P 4n -2n'
loop_
_atom_site_label
_atom_site_type_symbol
_atom_site_fract_x
_atom_site_fract_y
_atom_site_fract_z
Ti1 Ti 0.000 0.000 0.000
V1 V 0.000 0.000 0.328
Ge1 Ge 0.000 0.000 0.661
O1 O 0.192 0.192 0.496
O2 O 0.197 0.197 0.822
O3 O 0.201 0.201 0.157
```